No. 1
Below is a geometry-optimized Ho3Sc7Os4 structure, with properties calculated at the PBE level.

Properties
Energy of formation ... -0.243 eV/atom

Cell: 16.6726 4.1206 10.6221 Å, 90.00 122.02 90.00°
Space group C2/m (No. 12)
One atom of each set of equivalent atoms:
Ho 0.0000 0.0000 0.0000 [2 per cell]
Ho 0.1926 0.5000 0.7071 [4 per cell]
Sc 0.0000 0.0000 0.5000 [2 per cell]
Sc 0.0106 0.5000 0.2722 [4 per cell]
Sc 0.1686 0.0000 0.4232 [4 per cell]
Sc 0.1804 0.5000 0.0161 [4 per cell]
Os 0.1112 0.0000 0.8167 [4 per cell]
Os 0.1755 0.5000 0.2706 [4 per cell]


No. 2
Below is a geometry-optimized SnBi2Au2 structure, with properties calculated at the PBE level.

Properties
Energy of formation ... 0.047 eV/atom
Polymorph energy (0 for the lowest one) ... 84 meV/atom

Cell: 3.9764 3.9764 16.7205 Å, 90.00 90.00 90.00°
Space group I4/mmm (No. 139)
One atom of each set of equivalent atoms:
Sn 0.0000 0.0000 0.0000 [2 per cell]
Bi 0.0000 0.0000 0.3907 [4 per cell]
Au 0.0000 0.5000 0.2500 [4 per cell]


No. 3
Below is a geometry-optimized Te2IrIO structure, with properties calculated at the PBE level.

Properties
Polymorph energy (0 for the lowest one) ... 102 meV/atom
Energy relative to the elements, uncorrected ... 989 meV/atom

Cell: 5.1474 5.1474 5.5345 Å, 90.00 90.00 90.00°
Space group P4/mmm (No. 123)
One atom of each set of equivalent atoms:
Te 0.0000 0.5000 0.0000 [2 per cell]
Ir 0.0000 0.0000 0.0000 [1 per cell]
I 0.0000 0.0000 0.5000 [1 per cell]
O 0.5000 0.5000 0.5000 [1 per cell]


No. 4
Below is a geometry-optimized Y3PdRh structure, with properties calculated at the PBE level.

Properties
Energy of formation ... -0.714 eV/atom
Polymorph energy (0 for the lowest one) ... 0 meV/atom

Cell: 5.5886 5.9394 7.7923 Å, 80.90 77.70 75.51°
Space group P-1 (No. 2)
One atom of each set of equivalent atoms:
Y 0.0578 0.2057 0.1063 [2 per cell]
Y 0.2112 0.2004 0.5396 [2 per cell]
Y 0.4256 0.6334 0.1903 [2 per cell]
Pd 0.2799 0.6864 0.5654 [2 per cell]
Rh 0.4298 0.8980 0.8432 [2 per cell]


No. 5
Below is a geometry-optimized Cs2TaCdO4 structure, with properties calculated at the PBE level.

Properties
Energy relative to the elements, uncorrected ... -1881 meV/atom

Cell: 6.7160 6.7160 8.4604 Å, 90.00 90.00 90.00°
Space group I-4 (No. 82)
One atom of each set of equivalent atoms:
Cs 0.0000 0.0000 0.0000 [2 per cell]
Cs 0.0000 0.5000 0.2500 [2 per cell]
Ta 0.0000 0.0000 0.5000 [2 per cell]
Cd 0.0000 0.5000 0.7500 [2 per cell]
O 0.1265 0.1925 0.6265 [8 per cell]


No. 6
Below is a geometry-optimized In3OsC structure, with properties calculated at the PBE level.

Properties
Energy of formation ... 1.322 eV/atom
Polymorph energy (0 for the lowest one) ... 0 meV/atom

Cell: 4.5309 4.5309 4.5309 Å, 90.00 90.00 90.00°
Space group Pm-3m (No. 221)
One atom of each set of equivalent atoms:
In 0.0000 0.0000 0.5000 [3 per cell]
Os 0.5000 0.5000 0.5000 [1 per cell]
C 0.0000 0.0000 0.0000 [1 per cell]